{
  "formula": "CaZn2PdRu",
  "functional": "PBE",
  "state": "optimized geometry",
  "magmom_total_mub_per_fu": 1.9,
  "density_g_cm3": 5.4,
  "delta_e_f_ev_per_fu": 2.951,
  "dft_energy_ev_per_atom": -3.213,
  "cell": [[4.749, 0.000, 0.000], [0.000, 4.749, 0.000], [0.000, 0.000, 5.166]],
  "species": ["Ca", "Zn", "Zn", "Pd", "Ru"],
  "frac_coords": [[0.000, 0.000, 0.000], [0.000, 0.500, 0.500], [0.500, 0.000, 0.500], [0.000, 0.000, 0.500], [0.500, 0.500, 0.000]]
}